Entry from Alexandria: an optimized crystal structure of PmErAsS (PBE-GGA). Values from VASP.

Computed properties:
crystal system = trigonal
formation energy without anion corrections = -1.6869 eV/atom
space-group type = No. 160

Quantum ESPRESSO input file:
```
&SYSTEM
  ibrav = 0, nat = 4, ntyp = 4
/
ATOMIC_SPECIES
Pm 145.00 Pm.upf
Er 167.26 Er.upf
As 74.92 As.upf
S 32.06 S.upf
ATOMIC_POSITIONS crystal
Pm 0.0000 0.0000 0.0000
Er 0.1731 0.1731 0.1731
As 0.5817 0.5817 0.5817
S 0.7587 0.7587 0.7587
CELL_PARAMETERS angstrom
1.9930 1.1507 7.0270
-1.9930 1.1507 7.0270
0.0000 -2.3013 7.0270
```